{
  "formula": "CeY2Tc",
  "functional": "PBE-GGA",
  "state": "relaxed",
  "lattice": [[3.459, 0.000, 0.000], [0.000, 3.459, 0.000], [0.000, 0.000, 8.963]],
  "species": ["Y", "Y", "Tc", "Ce"],
  "frac_coords": [[0.000, 0.000, 0.815], [0.000, 0.000, 0.185], [0.500, 0.500, 0.000], [0.500, 0.500, 0.500]],
  "ef_ev_per_atom": 0.108,
  "total_magnetization_mub_per_fu": 2.2,
  "rho_g_cm3": 6.44,
  "vol_a3_per_atom": 26.81,
  "total_energy_ev_per_fu": -28.8,
  "dos_at_fermi_per_ev_atom": 2.291
}